[1]
Here is a relaxed Tm2UO6 crystal from Alexandria. Energies are from PBE.

- offset from the most stable computed form (meV per atom) = 22.6

Lattice parameters (Å, degrees): 5.041 5.041 10.306 90.00 90.00 90.00
Space group P4_2/mnm (No. 136)
Symmetry-distinct sites (fractional):
Tm 0.000 0.000 0.166
U 0.000 0.000 0.500
O 0.187 0.187 0.342
O 0.205 0.205 0.000

***

[2]
Here is a relaxed Tm4UO10 crystal from Alexandria. Energies are from PBE.

- calculated total energy (eV/atom) = -8.47

Lattice parameters (Å, degrees): 8.492 8.492 5.187 90.00 90.00 90.00
Space group I4/m (No. 87)
Symmetry-distinct sites (fractional):
Tm 0.099 0.700 0.000
U 0.000 0.000 0.500
O 0.000 0.500 0.250
O 0.098 0.191 0.257

***

[3]
Here is a relaxed TmU2O6 crystal from Alexandria. Energies are from PBE.

- calculated total energy (eV/atom) = -9.73

Lattice parameters (Å, degrees): 3.8227 3.8227 9.1355 90.00 90.00 120.00
Space group P-3m1 (No. 164)
Symmetry-distinct sites (fractional):
Tm 0.0000 0.0000 0.0000
U 0.3333 0.6667 0.6728
O 0.0000 0.0000 0.2564
O 0.3333 0.6667 0.4181
O 0.3333 0.6667 0.9088